1.
## Y2Ni4SbAs3 (PBE-GGA)

Data for a relaxed Y2Ni4SbAs3 crystal.

abc: 4.148 4.148 9.947
angles: 90.00 90.00 90.00
Fractional coordinates of all 10 atoms:
Y: 0.500 0.000 0.228
Y: 0.000 0.500 0.772
As: 0.500 0.000 0.874
As: 0.000 0.500 0.126
As: 0.000 0.000 0.500
Ni: 0.000 0.500 0.359
Ni: 0.500 0.000 0.641
Ni: 0.500 0.500 0.000
Ni: 0.000 0.000 0.000
Sb: 0.500 0.500 0.500

Computed properties:
As for the total DFT energy (no corrections): -6.123 eV/atom. Its formation energy from raw total energies is -0.711 eV/atom. For the density, the calculation gives 7.36 Mg/m³.



2.
## BaNa2YIr (PBE-GGA)

Data for a relaxed BaNa2YIr crystal.

abc: 5.550 5.399 5.550
angles: 90.00 90.00 90.00
Fractional coordinates of all 5 atoms:
Na: 0.500 0.000 0.000
Na: 0.000 0.000 0.500
Y: 0.500 0.500 0.500
Ba: 0.000 0.000 0.000
Ir: 0.000 0.500 0.000

Computed properties:
As for the total DFT energy (no corrections): -2.957 eV/atom. For the density, the calculation gives 4.64 Mg/m³. The calculation puts the formation energy at 1.020 eV per atom.